1.
The following is a PBE calculation of crystalline InFeTe2 at its relaxed geometry, from Alexandria.

Cell: 5.924 5.242 4.431 Å, 75.49 72.27 115.87°
Each line ends with the local moment (μB).
Fractional coordinates of all 4 atoms:
In (0.500, 0.500, 0.000)  -0.03
Fe (0.000, 0.500, 0.500)  3.04
Te (0.000, 0.000, 0.000)  0.01
Te (0.500, 0.000, 0.500)  0.01

Properties
size of the total moment	3.1	μB per formula unit
energy relative to the elements, uncorrected	0.37	eV per atom



2.
The following is a PBE calculation of crystalline InFeTe2 at its relaxed geometry, from Alexandria.

Cell: 9.847 9.847 9.847 Å, 21.25 21.25 21.25°
Each line ends with the local moment (μB).
Fractional coordinates of all 4 atoms:
Fe (0.500, 0.500, 0.500)  1.29
In (0.000, 0.000, 0.000)  0.01
Te (0.115, 0.115, 0.115)  -0.01
Te (0.885, 0.885, 0.885)  -0.01

Properties
size of the total moment	1.3	μB per formula unit
energy relative to the elements, uncorrected	0.00	eV per atom



3.
The following is a PBE calculation of crystalline InFeTe2 at its relaxed geometry, from Alexandria.

Cell: 6.451 6.451 7.430 Å, 64.27 64.27 90.00°
Fractional coordinates of all 8 atoms:
Fe (0.250, 0.750, 0.500)
Fe (0.500, 0.500, 0.000)
Te (0.375, 0.452, 0.750)
Te (0.875, 0.798, 0.750)
Te (0.202, 0.625, 0.250)
Te (0.548, 0.125, 0.250)
In (0.750, 0.250, 0.500)
In (0.000, 0.000, 0.000)

Properties
size of the total moment	0.0	μB per formula unit
energy relative to the elements, uncorrected	0.10	eV per atom



4.
The following is a PBE calculation of crystalline InFe2Te at its relaxed geometry, from Alexandria.

Cell: 4.615 4.615 4.615 Å, 60.00 60.00 60.00°
Each line ends with the local moment (μB).
Fractional coordinates of all 4 atoms:
In (0.000, 0.000, 0.000)  -0.10
Fe (0.250, 0.250, 0.250)  2.41
Fe (0.750, 0.750, 0.750)  2.41
Te (0.500, 0.500, 0.500)  0.02

Properties
distance to the lowest polymorph of the same formula	0.2930	eV/atom
size of the total moment	4.6	μB per formula unit
energy relative to the elements, uncorrected	0.48	eV per atom



Table of E (eV/atom), in record order: -4.003; -4.367; -4.272; -5.224